This record from Alexandria via LeMat-Bulk describes a relaxed ZnI2N crystal. The functional is GGA-PBE.

Values from the calculation:
energy relative to the elements, uncorrected = 1.33 eV/atom
density of states at the Fermi level = 0.245 states/eV per atom
total magnetization = 12.01 μB per cell
energy above the lowest structure with this stoichiometry = 247.3 meV/atom
space group = Fm-3m, No. 225
energy = -1.843 eV per atom

Unit cell a=7.4088 b=7.4088 c=7.4088 alpha=90.00 beta=90.00 gamma=90.00
With the nearest neighbours (Å) after each atom.
Element x y z (fractional)
Zn: 0.0000 0.0000 0.0000  8 I 3.21
Zn: 0.0000 0.5000 0.5000  8 I 3.21
Zn: 0.5000 0.0000 0.5000  8 I 3.21
Zn: 0.5000 0.5000 0.0000  8 I 3.21
I: 0.2500 0.2500 0.2500  4 N 3.21, 4 Zn 3.21
I: 0.2500 0.2500 0.7500  4 Zn 3.21, 4 N 3.21
I: 0.2500 0.7500 0.2500  4 Zn 3.21, 4 N 3.21
I: 0.2500 0.7500 0.7500  4 Zn 3.21, 4 N 3.21
I: 0.7500 0.2500 0.2500  4 Zn 3.21, 4 N 3.21
I: 0.7500 0.2500 0.7500  4 Zn 3.21, 4 N 3.21
I: 0.7500 0.7500 0.2500  4 Zn 3.21, 4 N 3.21
I: 0.7500 0.7500 0.7500  4 Zn 3.21, 4 N 3.21
N: 0.0000 0.0000 0.5000  8 I 3.21
N: 0.0000 0.5000 0.0000  8 I 3.21
N: 0.5000 0.0000 0.0000  8 I 3.21
N: 0.5000 0.5000 0.5000  8 I 3.21